[1]
First-principles (PBE-GGA) data for a relaxed structure of PuPaCuPd, as listed in the Alexandria database.

## Properties
Calculated formation energy ... -0.321 eV/atom
Total moment ... 6.031 μB/f.u.
DFT total energy ... -8.600 eV/atom

Unit cell a=6.707 b=6.707 c=6.707 alpha=90.00 beta=90.00 gamma=90.00
Space group F-43m (No. 216)
Symmetry-distinct sites (fractional):
Pu1 0.000 0.000 0.000 x4
Pa1 0.250 0.250 0.250 x4
Cu1 0.250 0.250 0.750 x4
Pd1 0.000 0.000 0.500 x4

---

[2]
First-principles (PBE-GGA) data for a relaxed structure of La3YRh, as listed in the Alexandria database.

## Properties
Calculated formation energy ... 1.030 eV/atom
Total moment ... 0.000 μB/f.u.
DFT total energy ... -4.689 eV/atom
Polymorph energy (0 for the lowest one) ... 1.215 eV per atom

Unit cell a=5.608 b=5.608 c=5.608 alpha=90.00 beta=90.00 gamma=90.00
Space group Pm-3m (No. 221)
Symmetry-distinct sites (fractional):
La1 0.000 0.000 0.500 x3
Y1 0.000 0.000 0.000 x1
Rh1 0.500 0.500 0.500 x1

---

[3]
First-principles (PBE-GGA) data for a relaxed structure of Sm3Y2Ho5, as listed in the Alexandria database.

## Properties
Calculated formation energy ... 0.199 eV/atom
Total moment ... 0.000 μB/f.u.
DFT total energy ... -4.799 eV/atom
Polymorph energy (0 for the lowest one) ... 0.000 eV per atom

Unit cell a=10.703 b=15.694 c=9.490 alpha=90.00 beta=124.10 gamma=90.00
Space group C2/c (No. 15)
Symmetry-distinct sites (fractional):
Sm1 0.000 0.232 0.250 x4
Sm2 0.145 0.124 0.048 x8
Y1 0.152 0.381 0.547 x8
Ho1 0.000 0.024 0.250 x4
Ho2 0.000 0.271 0.750 x4
Ho3 0.000 0.471 0.750 x4
Ho4 0.240 0.384 0.231 x8

---

[4]
First-principles (PBE-GGA) data for a relaxed structure of ZnP2Os, as listed in the Alexandria database.

## Properties
Calculated formation energy ... 0.213 eV/atom
Total moment ... 0.000 μB/f.u.
DFT total energy ... -5.618 eV/atom

Unit cell a=2.876 b=2.876 c=7.520 alpha=90.00 beta=90.00 gamma=90.00
Space group P4mm (No. 99)
Symmetry-distinct sites (fractional):
Zn1 0.000 0.000 0.000 x1
P1 0.000 0.000 0.417 x1
P2 0.500 0.500 0.758 x1
Os1 0.500 0.500 0.251 x1

---

[5]
First-principles (PBE-GGA) data for a relaxed structure of ZrSiP2S, as listed in the Alexandria database.

## Properties
Total moment ... 0.000 μB/f.u.
DFT total energy ... -5.305 eV/atom
Polymorph energy (0 for the lowest one) ... 0.333 eV per atom

Unit cell a=5.052 b=5.052 c=4.873 alpha=90.00 beta=90.00 gamma=90.00
Space group P4/mmm (No. 123)
Symmetry-distinct sites (fractional):
Zr1 0.000 0.000 0.000 x1
Si1 0.500 0.500 0.500 x1
P1 0.000 0.500 0.000 x2
S1 0.000 0.000 0.500 x1

---

[6]
First-principles (PBE-GGA) data for a relaxed structure of Ho2SbS2, as listed in the Alexandria database.

## Properties
Total moment ... 0.000 μB/f.u.
DFT total energy ... -5.707 eV/atom

Unit cell a=9.236 b=10.466 c=6.668 alpha=90.00 beta=122.30 gamma=90.00
Space group C2/c (No. 15)
Symmetry-distinct sites (fractional):
Ho1 0.000 0.090 0.250 x4
Ho2 0.000 0.318 0.750 x4
Sb1 0.000 0.379 0.250 x4
S1 0.172 0.105 0.031 x8

---

[7]
First-principles (PBE-GGA) data for a relaxed structure of Ti4Mo2Ir, as listed in the Alexandria database.

## Properties
Calculated formation energy ... -0.167 eV/atom
Total moment ... 0.000 μB/f.u.
DFT total energy ... -9.039 eV/atom

Unit cell a=6.169 b=6.169 c=6.271 alpha=90.00 beta=90.00 gamma=90.00
Space group I4/mmm (No. 139)
Symmetry-distinct sites (fractional):
Ti1 0.250 0.250 0.250 x8
Mo1 0.000 0.500 0.000 x4
Ir1 0.000 0.000 0.000 x2

---

[8]
First-principles (PBE-GGA) data for a relaxed structure of YIn2Mo, as listed in the Alexandria database.

## Properties
Calculated formation energy ... 0.093 eV/atom
Total moment ... 1.361 μB/f.u.
DFT total energy ... -5.601 eV/atom
Polymorph energy (0 for the lowest one) ... 0.087 eV per atom

Unit cell a=3.252 b=3.252 c=8.319 alpha=90.00 beta=90.00 gamma=90.00
Space group P4/mmm (No. 123)
Symmetry-distinct sites (fractional):
Y1 0.000 0.000 0.000 x1
In1 0.500 0.500 0.282 x2
Mo1 0.000 0.000 0.500 x1